No. 1
The following is a DFT calculation (PBE) of crystalline Th11In9Ru4 at its relaxed geometry.

abc: 13.3652 13.3652 3.8526
angles: 90.00 90.00 112.24
Closest atoms and distances in Å follow each position.
Fractional coordinates of all 24 atoms:
Th: 0.0000 0.0000 0.0000  8 In 3.32, 2 Th 3.46
Th: 0.0796 0.4198 0.0000  2 Ru 2.84
Th: 0.1558 0.8442 0.0000  8 In 3.38-3.49, 3 Th 3.46-3.73
Th: 0.3139 0.3139 0.0000  4 Ru 2.98
Th: 0.3738 0.6262 0.0000  4 Ru 3.07, 2 In 3.40
Th: 0.4198 0.0796 0.0000  2 Ru 2.84
Th: 0.5802 0.9204 0.0000  2 Ru 2.84
Th: 0.6262 0.3738 0.0000  4 Ru 3.07, 2 In 3.40
Th: 0.6861 0.6861 0.0000  4 Ru 2.98
Th: 0.8442 0.1558 0.0000  8 In 3.38-3.49, 3 Th 3.46-3.73
Th: 0.9204 0.5802 0.0000  2 Ru 2.84
In: 0.0774 0.2188 0.5000  1 Ru 2.99, 1 In 3.14, 4 Th 3.30-3.32
In: 0.1590 0.6373 0.5000  1 In 3.04, 1 Ru 3.18, 4 Th 3.31-3.38
In: 0.2188 0.0774 0.5000  1 Ru 2.99, 1 In 3.14, 4 Th 3.30-3.32
In: 0.3627 0.8410 0.5000  1 In 3.04, 1 Ru 3.18, 4 Th 3.31-3.38
In: 0.5000 0.5000 0.5000  4 Ru 3.22, 8 Th 3.38-3.40
In: 0.6373 0.1590 0.5000  1 In 3.04, 1 Ru 3.18, 4 Th 3.31-3.38
In: 0.7812 0.9226 0.5000  1 Ru 2.99, 1 In 3.14, 4 Th 3.30-3.32
In: 0.8410 0.3627 0.5000  1 In 3.04, 1 Ru 3.18, 4 Th 3.31-3.38
In: 0.9226 0.7812 0.5000  1 Ru 2.99, 1 In 3.14, 4 Th 3.30-3.32
Ru: 0.2434 0.4443 0.5000  6 Th 2.84-3.07, 1 In 2.99
Ru: 0.4443 0.2434 0.5000  6 Th 2.84-3.07, 1 In 2.99
Ru: 0.5557 0.7566 0.5000  6 Th 2.84-3.07, 1 In 2.99
Ru: 0.7566 0.5557 0.5000  6 Th 2.84-3.07, 1 In 2.99

Values from the calculation:
Space-group type = Cmmm, No. 65


No. 2
The following is a DFT calculation (PBE) of crystalline ThInRu at its relaxed geometry.

abc: 4.7541 4.7541 4.7541
angles: 60.00 60.00 60.00
Closest atoms and distances in Å follow each position.
Fractional coordinates of all 3 atoms:
Th: 0.0000 0.0000 0.0000  4 Ru 2.91
In: 0.5000 0.5000 0.5000  4 Ru 2.91
Ru: 0.7500 0.7500 0.7500  4 In 2.91, 4 Th 2.91

Values from the calculation:
Space-group type = F-43m, No. 216


No. 3
The following is a DFT calculation (PBE) of crystalline Th2InRu2 at its relaxed geometry.

abc: 5.8531 5.8531 5.1272
angles: 103.21 103.21 47.70
Closest atoms and distances in Å follow each position.
Fractional coordinates of all 5 atoms:
Th: 0.1812 0.1812 0.2034  2 Ru 2.56-2.71
Th: 0.8188 0.8188 0.7966  2 Ru 2.56-2.71
In: 0.5000 0.5000 0.5000  4 Ru 2.77
Ru: 0.1238 0.1238 0.6885  2 Th 2.56-2.71, 2 In 2.77
Ru: 0.8762 0.8762 0.3115  2 Th 2.56-2.71, 2 In 2.77

Values from the calculation:
Space-group type = C2/m, No. 12


No. 4
The following is a DFT calculation (PBE) of crystalline ThIn2Ru2 at its relaxed geometry.

abc: 9.6356 6.4634 6.9717
angles: 90.00 91.37 90.00
Closest atoms and distances in Å follow each position.
Fractional coordinates of all 20 atoms:
Th: 0.1619 0.1805 0.0307  3 Ru 2.64-2.95
Th: 0.1619 0.3195 0.5307  3 Ru 2.64-2.95
Th: 0.8381 0.6805 0.4693  3 Ru 2.64-2.95
Th: 0.8381 0.8195 0.9693  3 Ru 2.64-2.95
In: 0.1962 0.6782 0.9232  5 Ru 2.73-2.87, 1 In 2.99
In: 0.1962 0.8218 0.4232  5 Ru 2.73-2.87, 1 In 2.99
In: 0.4979 0.7485 0.0071  4 Ru 2.80-2.94, 1 In 2.99
In: 0.4979 0.7515 0.5071  4 Ru 2.80-2.94, 1 In 2.99
In: 0.5021 0.2485 0.4929  4 Ru 2.80-2.94, 1 In 2.99
In: 0.5021 0.2515 0.9929  4 Ru 2.80-2.94, 1 In 2.99
In: 0.8038 0.1782 0.5768  5 Ru 2.73-2.87, 1 In 2.99
In: 0.8038 0.3218 0.0768  5 Ru 2.73-2.87, 1 In 2.99
Ru: 0.0205 0.5530 0.2189  2 Th 2.64-2.95, 3 In 2.73-2.82
Ru: 0.0205 0.9470 0.7189  2 Th 2.64-2.95, 3 In 2.73-2.82
Ru: 0.3299 0.0130 0.7499  2 Th 2.79-2.96, 6 In 2.80-2.94, 1 Ru 3.01
Ru: 0.3299 0.4870 0.2499  2 Th 2.79-2.96, 6 In 2.80-2.94, 1 Ru 3.01
Ru: 0.6701 0.5130 0.7501  2 Th 2.79-2.96, 6 In 2.80-2.94, 1 Ru 3.01
Ru: 0.6701 0.9870 0.2501  2 Th 2.79-2.96, 6 In 2.80-2.94, 1 Ru 3.01
Ru: 0.9795 0.0530 0.2811  2 Th 2.64-2.95, 3 In 2.73-2.82
Ru: 0.9795 0.4470 0.7811  2 Th 2.64-2.95, 3 In 2.73-2.82

Values from the calculation:
Space-group type = P2_1/c, No. 14


No. 5
The following is a DFT calculation (PBE) of crystalline ThZnInRu at its relaxed geometry.

abc: 4.8936 4.8936 4.8936
angles: 60.00 60.00 60.00
Closest atoms and distances in Å follow each position.
Fractional coordinates of all 4 atoms:
Th: 0.0000 0.0000 0.0000  4 Zn 3.00, 4 Ru 3.00
Zn: 0.7500 0.7500 0.7500  4 Th 3.00, 4 In 3.00
In: 0.5000 0.5000 0.5000  4 Zn 3.00, 4 Ru 3.00
Ru: 0.2500 0.2500 0.2500  4 In 3.00, 4 Th 3.00

Values from the calculation:
Space-group type = F-43m, No. 216


No. 6
The following is a DFT calculation (PBE) of crystalline TiInRu at its relaxed geometry.

abc: 5.3074 5.3074 5.3074
angles: 144.22 144.22 51.49
Closest atoms and distances in Å follow each position.
Fractional coordinates of all 3 atoms:
Ti: 0.0000 0.0000 0.0000  4 Ru 2.61, 4 In 2.92
In: 0.6881 0.6881 0.0000  5 Ru 2.90-3.03, 5 Ti 2.92-2.98
Ru: 0.3713 0.3713 0.0000  4 Ti 2.61, 4 In 2.90

Values from the calculation:
Space-group type = I4mm, No. 107


No. 7
The following is a DFT calculation (PBE) of crystalline Ti5InRu4 at its relaxed geometry.

abc: 3.0786 3.0786 16.4089
angles: 90.00 90.00 90.00
Closest atoms and distances in Å follow each position.
Fractional coordinates of all 10 atoms:
Ti: 0.0000 0.0000 0.0000  8 Ru 2.66
Ti: 0.0000 0.0000 0.1881  8 Ru 2.67
Ti: 0.0000 0.0000 0.3745  4 Ru 2.66
Ti: 0.0000 0.0000 0.6255  4 Ru 2.66
Ti: 0.0000 0.0000 0.8119  8 Ru 2.67
In: 0.5000 0.5000 0.5000  8 Ti 3.00, 4 In 3.08
Ru: 0.5000 0.5000 0.0935  8 Ti 2.66-2.67
Ru: 0.5000 0.5000 0.2818  8 Ti 2.66-2.67
Ru: 0.5000 0.5000 0.7182  8 Ti 2.66-2.67
Ru: 0.5000 0.5000 0.9065  8 Ti 2.66-2.67

Values from the calculation:
Space-group type = P4/mmm, No. 123


No. 8
The following is a DFT calculation (PBE) of crystalline Ti2InRu at its relaxed geometry.

abc: 3.0369 3.0369 7.4479
angles: 90.00 90.00 90.00
Closest atoms and distances in Å follow each position.
Fractional coordinates of all 4 atoms:
Ti: 0.0000 0.0000 0.2080  4 Ru 2.65
Ti: 0.0000 0.0000 0.7920  4 Ru 2.65
In: 0.5000 0.5000 0.5000  4 In 3.04, 8 Ti 3.06
Ru: 0.5000 0.5000 0.0000  8 Ti 2.65

Values from the calculation:
Space-group type = P4/mmm, No. 123


No. 9
The following is a DFT calculation (PBE) of crystalline TiInRu2 at its relaxed geometry.

abc: 3.1278 3.1278 6.4403
angles: 90.00 90.00 90.00
Closest atoms and distances in Å follow each position.
Fractional coordinates of all 4 atoms:
Ti: 0.0000 0.0000 0.0000  8 Ru 2.66
In: 0.0000 0.0000 0.5000  8 Ru 2.81, 4 In 3.13
Ru: 0.5000 0.5000 0.2296  4 Ti 2.66, 4 In 2.81, 1 Ru 2.96
Ru: 0.5000 0.5000 0.7704  4 Ti 2.66, 4 In 2.81, 1 Ru 2.96

Values from the calculation:
Space-group type = P4/mmm, No. 123


No. 10
The following is a DFT calculation (PBE) of crystalline Ti2InRu at its relaxed geometry.

abc: 4.2286 4.2286 3.7334
angles: 90.00 90.00 90.00
Closest atoms and distances in Å follow each position.
Fractional coordinates of all 4 atoms:
Ti: 0.0000 0.5000 0.0000  4 In 2.82, 4 Ru 2.82, 4 Ti 2.99
Ti: 0.5000 0.0000 0.0000  4 In 2.82, 4 Ru 2.82, 4 Ti 2.99
In: 0.0000 0.0000 0.5000  8 Ti 2.82, 4 Ru 2.99
Ru: 0.5000 0.5000 0.5000  8 Ti 2.82, 4 In 2.99

Values from the calculation:
Space-group type = P4/mmm, No. 123


No. 11
The following is a DFT calculation (PBE) of crystalline TiInRu2 at its relaxed geometry.

abc: 9.0931 9.0931 9.0931
angles: 153.74 153.74 37.48
Closest atoms and distances in Å follow each position.
Fractional coordinates of all 8 atoms:
Ti: 0.0000 0.0000 0.0000  4 Ru 2.50
Ti: 0.7500 0.2500 0.5000  4 Ru 2.50
In: 0.2500 0.7500 0.5000  4 Ru 2.73, 4 Ti 2.92
In: 0.5000 0.5000 0.0000  4 Ru 2.73, 4 Ti 2.92
Ru: 0.0564 0.6250 0.9314  2 Ti 2.50, 2 Ru 2.55, 2 In 2.73
Ru: 0.3750 0.3064 0.4314  2 Ti 2.50, 2 Ru 2.55, 2 In 2.73
Ru: 0.6936 0.1250 0.0686  2 Ti 2.50, 2 Ru 2.55, 2 In 2.73
Ru: 0.8750 0.9436 0.5686  2 Ti 2.50, 2 Ru 2.55, 2 In 2.73

Values from the calculation:
Space-group type = I-42d, No. 122


No. 12
The following is a DFT calculation (PBE) of crystalline TiIn3Ru at its relaxed geometry.

abc: 5.2005 5.2005 5.2005
angles: 90.00 90.00 90.00
Closest atoms and distances in Å follow each position.
Fractional coordinates of all 5 atoms:
Ti: 0.0000 0.0000 0.0000  6 In 2.60
In: 0.0000 0.0000 0.5000  2 Ti 2.60
In: 0.0000 0.5000 0.0000  2 Ti 2.60
In: 0.5000 0.0000 0.0000  2 Ti 2.60
Ru: 0.5000 0.5000 0.5000  12 In 3.68

Values from the calculation:
Space-group type = Pm-3m, No. 221


Quick rundown of ΔE_f, same order as above: -0.417, -0.278, -0.431, -0.206, -0.167, -0.311, -0.610, -0.378, -0.375, -0.237, 0.376, 1.263 eV/atom
Quick rundown of D(E_F), same order as above: 20.43, 2.20, 2.79, 2.54, 2.88, 3.79, 4.02, 3.50, 4.55, 3.74, 3.71, 15.54 states/eV/f.u.